Entry 1:
## Re2TcTe (meta-GGA SCAN)

Data for a crystal of Re2TcTe relaxed with PBEsol.

Properties
The calculation puts the final energy at -52.916 eV/atom.

Structure (CIF):
```
data_Re2TcTe
_symmetry_space_group_name_H-M 'P 4/m m m'
_symmetry_Int_Tables_number 123
_symmetry_space_group_name_Hall '-P 4 2'
_cell_length_a 4.530
_cell_length_b 4.530
_cell_length_c 3.071
_cell_angle_alpha 90.00
_cell_angle_beta 90.00
_cell_angle_gamma 90.00
loop_
_atom_site_label
_atom_site_type_symbol
_atom_site_fract_x
_atom_site_fract_y
_atom_site_fract_z
Re1 Re 0.000 0.500 0.000
Tc1 Tc 0.000 0.000 0.500
Te1 Te 0.500 0.500 0.500
```

---

Entry 2:
## AgAu3 (meta-GGA SCAN)

Data for a crystal of AgAu3 relaxed with PBEsol.

Properties
Its energy of formation from the pure elements is -67 meV/atom.

Structure (CIF):
```
data_AgAu3
_symmetry_space_group_name_H-M 'P m -3 m'
_symmetry_Int_Tables_number 221
_symmetry_space_group_name_Hall '-P 4 2 3'
_cell_length_a 4.065
_cell_length_b 4.065
_cell_length_c 4.065
_cell_angle_alpha 90.00
_cell_angle_beta 90.00
_cell_angle_gamma 90.00
loop_
_atom_site_label
_atom_site_type_symbol
_atom_site_fract_x
_atom_site_fract_y
_atom_site_fract_z
Ag1 Ag 0.000 0.000 0.000
Au1 Au 0.000 0.500 0.500
```

---

Entry 3:
## MnCrTe (meta-GGA SCAN)

Data for a crystal of MnCrTe relaxed with PBEsol.

Properties
The calculation puts the final energy at -24.468 eV/atom.

Structure (CIF):
```
data_MnCrTe
_symmetry_space_group_name_H-M 'I 4 m m'
_symmetry_Int_Tables_number 107
_symmetry_space_group_name_Hall 'I 4 -2'
_cell_length_a 3.164
_cell_length_b 3.164
_cell_length_c 9.810
_cell_angle_alpha 90.00
_cell_angle_beta 90.00
_cell_angle_gamma 90.00
loop_
_atom_site_label
_atom_site_type_symbol
_atom_site_fract_x
_atom_site_fract_y
_atom_site_fract_z
Mn1 Mn 0.000 0.000 0.000
Cr1 Cr 0.000 0.000 0.622
Te1 Te 0.000 0.000 0.317
```

---

Entry 4:
## ErBO3 (meta-GGA SCAN)

Data for a crystal of ErBO3 relaxed with PBEsol.

Properties
The calculation puts the final energy at -18.636 eV/atom.

Structure (CIF):
```
data_ErBO3
_symmetry_space_group_name_H-M 'A m a 2'
_symmetry_Int_Tables_number 40
_cell_length_a 8.404
_cell_length_b 6.344
_cell_length_c 4.255
_cell_angle_alpha 90.00
_cell_angle_beta 90.00
_cell_angle_gamma 90.00
loop_
_symmetry_equiv_pos_as_xyz
'x,y,z'
'-x,-y,z'
'-x+1/2,y,z'
'x+1/2,-y,z'
'x,y+1/2,z+1/2'
'-x,-y+1/2,z+1/2'
'-x+1/2,y+1/2,z+1/2'
'x+1/2,-y+1/2,z+1/2'
loop_
_atom_site_label
_atom_site_type_symbol
_atom_site_fract_x
_atom_site_fract_y
_atom_site_fract_z
Er1 Er 0.000 0.000 0.000
B1 B 0.250 0.137 0.562
O1 O 0.102 0.171 0.428
O2 O 0.250 0.070 0.868
```

---

Entry 5:
## YTa3Si (meta-GGA SCAN)

Data for a crystal of YTa3Si relaxed with PBEsol.

Properties
The calculation puts the final energy at -46.937 eV/atom.

Structure (CIF):
```
data_YTa3Si
_symmetry_space_group_name_H-M 'P m -3 m'
_symmetry_Int_Tables_number 221
_symmetry_space_group_name_Hall '-P 4 2 3'
_cell_length_a 4.732
_cell_length_b 4.732
_cell_length_c 4.732
_cell_angle_alpha 90.00
_cell_angle_beta 90.00
_cell_angle_gamma 90.00
loop_
_atom_site_label
_atom_site_type_symbol
_atom_site_fract_x
_atom_site_fract_y
_atom_site_fract_z
Y1 Y 0.000 0.000 0.000
Ta1 Ta 0.000 0.500 0.500
Si1 Si 0.500 0.500 0.500
```

---

Entry 6:
## LaTa (meta-GGA SCAN)

Data for a crystal of LaTa relaxed with PBEsol.

Properties
Its energy of formation from the pure elements is 476 meV/atom.

Structure (CIF):
```
data_LaTa
_symmetry_space_group_name_H-M 'A m m 2'
_symmetry_Int_Tables_number 38
_cell_length_a 4.820
_cell_length_b 9.751
_cell_length_c 6.567
_cell_angle_alpha 90.00
_cell_angle_beta 90.00
_cell_angle_gamma 90.00
loop_
_symmetry_equiv_pos_as_xyz
'x,y,z'
'-x,-y,z'
'-x,y,z'
'x,-y,z'
'x,y+1/2,z+1/2'
'-x,-y+1/2,z+1/2'
'-x,y+1/2,z+1/2'
'x,-y+1/2,z+1/2'
loop_
_atom_site_label
_atom_site_type_symbol
_atom_site_fract_x
_atom_site_fract_y
_atom_site_fract_z
La1 La 0.000 0.000 0.000
La2 La 0.500 0.191 0.240
Ta1 Ta 0.000 0.134 0.548
Ta2 Ta 0.500 0.000 0.661
```